Entry 1:
The following is a PBE-GGA calculation of an optimized crystal structure of GaGe3As, from the Alexandria database.

Calculated values
offset from the most stable computed form	0	meV per atom
E_tot	-3.623	eV per atom
formation enthalpy at 0 K	0.683	eV per atom

Cell lengths 4.894, 4.894, 4.894 Å; angles 90.00, 90.00, 90.00 degrees
Space group Pm-3m (No. 221)
Symmetry-distinct sites (fractional):
Ga1 0.000 0.000 0.000 x1
Ge1 0.000 0.000 0.500 x3
As1 0.500 0.500 0.500 x1

Entry 2:
The following is a PBE-GGA calculation of an optimized crystal structure of Ti2NbN, from the Alexandria database.

Calculated values
offset from the most stable computed form	541	meV per atom
E_tot	-8.926	eV per atom

Cell lengths 2.706, 2.706, 7.371 Å; angles 90.00, 90.00, 90.00 degrees
Space group P4/mmm (No. 123)
Symmetry-distinct sites (fractional):
Ti1 0.000 0.000 0.170 x2
Nb1 0.500 0.500 0.500 x1
N1 0.500 0.500 0.000 x1

Entry 3:
The following is a PBE-GGA calculation of an optimized crystal structure of YZr3Ti, from the Alexandria database.

Calculated values
offset from the most stable computed form	959	meV per atom
E_tot	-6.486	eV per atom
formation enthalpy at 0 K	1.515	eV per atom

Cell lengths 5.132, 5.132, 5.132 Å; angles 90.00, 90.00, 90.00 degrees
Space group Pm-3m (No. 221)
Symmetry-distinct sites (fractional):
Y1 0.000 0.000 0.000 x1
Zr1 0.000 0.000 0.500 x3
Ti1 0.500 0.500 0.500 x1

Entry 4:
The following is a PBE-GGA calculation of an optimized crystal structure of LiTm2MgSe4, from the Alexandria database.

Calculated values
E_tot	-4.849	eV per atom

Cell lengths 6.823, 3.951, 6.932 Å; angles 90.00, 108.87, 90.00 degrees
Space group P2/m (No. 10)
Symmetry-distinct sites (fractional):
Li1 0.000 0.000 0.000 x1
Tm1 0.000 0.500 0.500 x1
Tm2 0.500 0.000 0.500 x1
Mg1 0.500 0.500 0.000 x1
Se1 0.250 0.500 0.242 x2
Se2 0.254 0.000 0.762 x2

Entry 5:
The following is a PBE-GGA calculation of an optimized crystal structure of Na5Pu3H12, from the Alexandria database.

Calculated values
E_tot	-4.639	eV per atom

Cell lengths 12.996, 12.996, 12.996 Å; angles 90.00, 90.00, 90.00 degrees
Space group Ia-3d (No. 230)
Symmetry-distinct sites (fractional):
Na1 0.000 0.000 0.000 x16
Na2 0.000 0.250 0.375 x24
Pu1 0.000 0.250 0.125 x24
H1 0.014 0.074 0.658 x96

Entry 6:
The following is a PBE-GGA calculation of an optimized crystal structure of Ac6Pt2Se3, from the Alexandria database.

Calculated values
E_tot	-5.740	eV per atom

Cell lengths 4.4149, 4.4149, 66.9521 Å; angles 90.00, 90.00, 120.00 degrees
Space group R-3m (No. 166, hexagonal axes)
Symmetry-distinct sites (fractional):
Ac1 0.0000 0.0000 0.0874 x6
Ac2 0.0000 0.0000 0.1956 x6
Ac3 0.0000 0.0000 0.3609 x6
Pt1 0.0000 0.0000 0.4472 x6
Se1 0.0000 0.0000 0.0000 x3
Se2 0.0000 0.0000 0.2778 x6

Entry 7:
The following is a PBE-GGA calculation of an optimized crystal structure of VCoB, from the Alexandria database.

Calculated values
offset from the most stable computed form	274	meV per atom
E_tot	-7.898	eV per atom
formation enthalpy at 0 K	-0.264	eV per atom

Cell lengths 3.7382, 3.7382, 4.7311 Å; angles 90.00, 90.00, 120.00 degrees
Space group P6_3/mmc (No. 194)
Symmetry-distinct sites (fractional):
V1 0.0000 0.0000 0.0000 x2
Co1 0.3333 0.6667 0.2500 x2
B1 0.3333 0.6667 0.7500 x2

Entry 8:
The following is a PBE-GGA calculation of an optimized crystal structure of ScMoAu2, from the Alexandria database.

Calculated values
offset from the most stable computed form	492	meV per atom
E_tot	-5.591	eV per atom
formation enthalpy at 0 K	0.339	eV per atom

Cell lengths 3.967, 3.967, 19.665 Å; angles 90.00, 90.00, 90.00 degrees
Space group I-42d (No. 122)
Symmetry-distinct sites (fractional):
Sc1 0.000 0.000 0.000 x4
Mo1 0.000 0.000 0.500 x4
Au1 0.246 0.250 0.625 x8

Entry 9:
The following is a PBE-GGA calculation of an optimized crystal structure of YZrMn2Cu, from the Alexandria database.

Calculated values
E_tot	-6.937	eV per atom
formation enthalpy at 0 K	0.552	eV per atom

Cell lengths 4.722, 4.722, 4.886 Å; angles 90.00, 90.00, 90.00 degrees
Space group P4/mmm (No. 123)
Symmetry-distinct sites (fractional):
Y1 0.000 0.000 0.000 x1
Zr1 0.500 0.500 0.000 x1
Mn1 0.000 0.500 0.500 x2
Cu1 0.500 0.500 0.500 x1

Entry 10:
The following is a PBE-GGA calculation of an optimized crystal structure of YGaSn2C, from the Alexandria database.

Calculated values
E_tot	-3.930	eV per atom
formation enthalpy at 0 K	1.415	eV per atom

Cell lengths 5.073, 5.073, 5.527 Å; angles 90.00, 90.00, 90.00 degrees
Space group P4/mmm (No. 123)
Symmetry-distinct sites (fractional):
Y1 0.000 0.000 0.000 x1
Ga1 0.000 0.000 0.500 x1
Sn1 0.000 0.500 0.500 x2
C1 0.500 0.500 0.000 x1

Entry 11:
The following is a PBE-GGA calculation of an optimized crystal structure of Rb2CuIO, from the Alexandria database.

Calculated values
offset from the most stable computed form	0	meV per atom
E_tot	-3.524	eV per atom

Cell lengths 6.212, 6.212, 3.757 Å; angles 90.00, 90.00, 90.00 degrees
Space group P4/mmm (No. 123)
Symmetry-distinct sites (fractional):
Rb1 0.000 0.500 0.000 x2
Cu1 0.000 0.000 0.500 x1
I1 0.500 0.500 0.500 x1
O1 0.000 0.000 0.000 x1

Entry 12:
The following is a PBE-GGA calculation of an optimized crystal structure of NaLaPm2Se4, from the Alexandria database.

Calculated values
E_tot	-5.521	eV per atom

Cell lengths 7.304, 4.220, 7.420 Å; angles 90.00, 109.13, 90.00 degrees
Space group P2/m (No. 10)
Symmetry-distinct sites (fractional):
Na1 0.000 0.000 0.000 x1
La1 0.500 0.500 0.000 x1
Pm1 0.000 0.500 0.500 x1
Pm2 0.500 0.000 0.500 x1
Se1 0.245 0.000 0.746 x2
Se2 0.251 0.500 0.256 x2